The following is a PBE calculation of KErTl2 after structural relaxation, from Alexandria. Values from VASP.

Values from the calculation:
DOS(E_F)	0.611	states/eV per atom
VASP energy	-11.151	eV/cell
size of the total moment	0.1	μB per formula unit
V	127.3	Å³/cell
polymorph energy (0 for the lowest one)	0.0000	eV per atom
formation energy	-0.19	eV per atom
space-group type	No. 123

The structure in Quantum ESPRESSO input format:
```
&SYSTEM
  ibrav = 0, nat = 4, ntyp = 3
/
ATOMIC_SPECIES
Tl 204.38 Tl.upf
K 39.10 K.upf
Er 167.26 Er.upf
CELL_PARAMETERS angstrom
-1.1479 2.6765 2.5019
-1.7020 -2.7113 2.1197
7.2978 -1.0692 4.4921
ATOMIC_POSITIONS crystal
Tl 0.0000 0.0000 0.7931
Tl 0.0000 0.0000 0.2069
K 0.5000 0.5000 0.5000
Er 0.5000 0.5000 0.0000
```